Entry 1:
## KCd3Pt3 (PBE-GGA)

Data for KCd3Pt3 after structural relaxation.

Results
Space group: Pm-3n
M_tot in μB per formula unit: 0.00
Formation energy from the elements in eV per atom: 0.15

abc: 7.500 7.500 7.500
angles: 90.00 90.00 90.00
Fractional coordinates of all 14 atoms:
K 0.000 0.000 0.000
K 0.500 0.500 0.500
Cd 0.000 0.250 0.500
Cd 0.000 0.750 0.500
Cd 0.250 0.500 0.000
Cd 0.500 0.000 0.250
Cd 0.500 0.000 0.750
Cd 0.750 0.500 0.000
Pt 0.000 0.500 0.250
Pt 0.000 0.500 0.750
Pt 0.250 0.000 0.500
Pt 0.500 0.250 0.000
Pt 0.500 0.750 0.000
Pt 0.750 0.000 0.500

Entry 2:
## KCd2Pt (PBE-GGA)

Data for KCd2Pt after structural relaxation.

Results
Space group: R-3m
M_tot in μB per formula unit: 0.00
Formation energy from the elements in eV per atom: 0.07

abc: 10.513 10.513 10.513
angles: 17.77 17.77 17.77
Fractional coordinates of all 4 atoms:
K 0.000 0.000 0.000
Cd 0.235 0.235 0.235
Cd 0.765 0.765 0.765
Pt 0.500 0.500 0.500

Entry 3:
## KCd2Pt (PBE-GGA)

Data for KCd2Pt after structural relaxation.

Results
Space group: I-4m2
M_tot in μB per formula unit: 0.00
Formation energy from the elements in eV per atom: 0.11

abc: 5.335 5.335 5.335
angles: 127.46 127.46 77.50
Fractional coordinates of all 4 atoms:
K 0.000 0.000 0.000
Cd 0.500 0.500 0.000
Cd 0.750 0.250 0.500
Pt 0.250 0.750 0.500

Entry 4:
## KCd2Pt (PBE-GGA)

Data for KCd2Pt after structural relaxation.

Results
Space group: I-42d
M_tot in μB per formula unit: 0.00
Formation energy from the elements in eV per atom: -0.03

abc: 9.881 9.881 9.881
angles: 147.13 147.13 47.17
Fractional coordinates of all 8 atoms:
K 0.000 0.000 0.000
K 0.750 0.250 0.500
Cd 0.373 0.625 0.248
Cd 0.375 0.623 0.748
Cd 0.377 0.125 0.752
Cd 0.875 0.627 0.252
Pt 0.250 0.750 0.500
Pt 0.500 0.500 0.000

Entry 5:
## K3CdPt (PBE-GGA)

Data for K3CdPt after structural relaxation.

Results
Space group: Pm-3m
M_tot in μB per formula unit: 0.00
Formation energy from the elements in eV per atom: 0.10
Offset from the most stable computed form in meV/atom: 0

abc: 6.185 6.185 6.185
angles: 90.00 90.00 90.00
Fractional coordinates of all 5 atoms:
K 0.000 0.000 0.500
K 0.000 0.500 0.000
K 0.500 0.000 0.000
Cd 0.500 0.500 0.500
Pt 0.000 0.000 0.000

Entry 6:
## KCd12Pt4 (PBE-GGA)

Data for KCd12Pt4 after structural relaxation.

Results
Space group: Im-3
M_tot in μB per formula unit: 0.00
Formation energy from the elements in eV per atom: -0.05

abc: 8.332 8.332 8.332
angles: 109.47 109.47 109.47
Fractional coordinates of all 17 atoms:
K 0.000 0.000 0.000
Cd 0.165 0.345 0.510
Cd 0.165 0.655 0.821
Cd 0.179 0.835 0.345
Cd 0.345 0.179 0.835
Cd 0.345 0.510 0.165
Cd 0.490 0.835 0.655
Cd 0.510 0.165 0.345
Cd 0.655 0.490 0.835
Cd 0.655 0.821 0.165
Cd 0.821 0.165 0.655
Cd 0.835 0.345 0.179
Cd 0.835 0.655 0.490
Pt 0.000 0.000 0.500
Pt 0.000 0.500 0.000
Pt 0.500 0.000 0.000
Pt 0.500 0.500 0.500

Entry 7:
## KCdPt (PBE-GGA)

Data for KCdPt after structural relaxation.

Results
Space group: P3m1
M_tot in μB per formula unit: 0.00
Formation energy from the elements in eV per atom: 0.18
Offset from the most stable computed form in meV/atom: 412

abc: 3.145 3.145 7.930
angles: 90.00 90.00 120.00
Fractional coordinates of all 3 atoms:
K 0.000 0.000 0.000
Cd 0.667 0.333 0.603
Pt 0.333 0.667 0.326

Entry 8:
## K2Cd2Pt (PBE-GGA)

Data for K2Cd2Pt after structural relaxation.

Results
Space group: R-3m
M_tot in μB per formula unit: 0.00
Formation energy from the elements in eV per atom: -0.17
Offset from the most stable computed form in meV/atom: 0

abc: 10.609 10.609 10.609
angles: 25.77 25.77 25.77
Fractional coordinates of all 5 atoms:
K 0.073 0.073 0.073
K 0.927 0.927 0.927
Cd 0.187 0.187 0.187
Cd 0.813 0.813 0.813
Pt 0.500 0.500 0.500

Entry 9:
## KCd2Pt (PBE-GGA)

Data for KCd2Pt after structural relaxation.

Results
Space group: Cmcm
M_tot in μB per formula unit: 0.00
Formation energy from the elements in eV per atom: -0.23

abc: 6.462 6.462 8.000
angles: 90.00 90.00 138.40
Fractional coordinates of all 8 atoms:
K 0.052 0.948 0.750
K 0.948 0.052 0.250
Cd 0.325 0.675 0.562
Cd 0.325 0.675 0.938
Cd 0.675 0.325 0.062
Cd 0.675 0.325 0.438
Pt 0.223 0.777 0.250
Pt 0.777 0.223 0.750

Entry 10:
## KCd3Pt2 (PBE-GGA)

Data for KCd3Pt2 after structural relaxation.

Results
Space group: C2/m
M_tot in μB per formula unit: 0.00
Formation energy from the elements in eV per atom: -0.22
Offset from the most stable computed form in meV/atom: 85

abc: 8.356 8.356 8.857
angles: 112.75 112.75 32.24
Fractional coordinates of all 12 atoms:
K 0.153 0.153 0.088
K 0.847 0.847 0.912
Cd 0.012 0.012 0.325
Cd 0.323 0.323 0.563
Cd 0.388 0.388 0.285
Cd 0.612 0.612 0.715
Cd 0.677 0.677 0.437
Cd 0.988 0.988 0.675
Pt 0.164 0.164 0.619
Pt 0.486 0.486 0.847
Pt 0.514 0.514 0.153
Pt 0.836 0.836 0.381

Entry 11:
## K2Cd5Pt (PBE-GGA)

Data for K2Cd5Pt after structural relaxation.

Results
Space group: I4mm
M_tot in μB per formula unit: 0.00
Formation energy from the elements in eV per atom: -0.13

abc: 7.655 7.655 7.655
angles: 130.53 130.53 72.56
Fractional coordinates of all 8 atoms:
K 0.000 0.500 0.500
K 0.500 0.000 0.500
Cd 0.393 0.393 0.000
Cd 0.491 0.491 0.503
Cd 0.491 0.988 0.000
Cd 0.988 0.491 0.000
Cd 0.988 0.988 0.497
Pt 0.614 0.614 0.000

Entry 12:
## KCd2Pt (PBE-GGA)

Data for KCd2Pt after structural relaxation.

Results
Space group: C2/m
M_tot in μB per formula unit: 0.00
Formation energy from the elements in eV per atom: 0.15

abc: 6.307 6.307 2.944
angles: 102.51 102.51 120.03
Fractional coordinates of all 4 atoms:
K 0.000 0.000 0.000
Cd 0.000 0.500 0.500
Cd 0.500 0.000 0.500
Pt 0.500 0.500 0.000

Entry 13:
## KCd2Pt2 (PBE-GGA)

Data for KCd2Pt2 after structural relaxation.

Results
Space group: P4/mbm
M_tot in μB per formula unit: 0.00
Formation energy from the elements in eV per atom: -0.26
Offset from the most stable computed form in meV/atom: 5

abc: 8.364 8.364 2.965
angles: 90.00 90.00 90.00
Fractional coordinates of all 10 atoms:
K 0.000 0.000 0.000
K 0.500 0.500 0.000
Cd 0.163 0.337 0.500
Cd 0.337 0.837 0.500
Cd 0.663 0.163 0.500
Cd 0.837 0.663 0.500
Pt 0.131 0.631 0.000
Pt 0.369 0.131 0.000
Pt 0.631 0.869 0.000
Pt 0.869 0.369 0.000

Entry 14:
## K2Cd2Pt (PBE-GGA)

Data for K2Cd2Pt after structural relaxation.

Results
Space group: P4/mbm
M_tot in μB per formula unit: 0.00
Formation energy from the elements in eV per atom: -0.09
Offset from the most stable computed form in meV/atom: 83

abc: 7.250 7.250 5.773
angles: 90.00 90.00 90.00
Fractional coordinates of all 10 atoms:
K 0.182 0.318 0.000
K 0.318 0.818 0.000
K 0.682 0.182 0.000
K 0.818 0.682 0.000
Cd 0.153 0.653 0.500
Cd 0.347 0.153 0.500
Cd 0.653 0.847 0.500
Cd 0.847 0.347 0.500
Pt 0.000 0.000 0.500
Pt 0.500 0.500 0.500

Entry 15:
## KCd3Pt2 (PBE-GGA)

Data for KCd3Pt2 after structural relaxation.

Results
Space group: Cmcm
M_tot in μB per formula unit: 0.00
Formation energy from the elements in eV per atom: -0.31
Offset from the most stable computed form in meV/atom: 0

abc: 7.160 7.160 5.840
angles: 90.00 90.00 78.95
Fractional coordinates of all 12 atoms:
K 0.135 0.865 0.750
K 0.865 0.135 0.250
Cd 0.031 0.558 0.250
Cd 0.442 0.969 0.250
Cd 0.463 0.537 0.250
Cd 0.537 0.463 0.750
Cd 0.558 0.031 0.750
Cd 0.969 0.442 0.750
Pt 0.288 0.288 0.000
Pt 0.288 0.288 0.500
Pt 0.712 0.712 0.000
Pt 0.712 0.712 0.500

Entry 16:
## K2CdPt3 (PBE-GGA)

Data for K2CdPt3 after structural relaxation.

Results
Space group: C2/m
M_tot in μB per formula unit: 0.00
Formation energy from the elements in eV per atom: -0.22

abc: 5.647 5.647 5.685
angles: 119.65 119.65 60.09
Fractional coordinates of all 6 atoms:
K 0.121 0.121 0.364
K 0.879 0.879 0.636
Cd 0.500 0.500 0.500
Pt 0.000 0.500 0.000
Pt 0.500 0.000 0.000
Pt 0.500 0.500 0.000

Entry 17:
## K3Cd5Pt2 (PBE-GGA)

Data for K3Cd5Pt2 after structural relaxation.

Results
Space group: Ibam
M_tot in μB per formula unit: 0.00
Formation energy from the elements in eV per atom: -0.11

abc: 9.818 9.818 9.818
angles: 106.87 87.30 139.19
Fractional coordinates of all 20 atoms:
K 0.152 0.227 0.378
K 0.250 0.250 0.000
K 0.348 0.727 0.075
K 0.652 0.273 0.925
K 0.750 0.750 0.000
K 0.848 0.773 0.622
Cd 0.033 0.750 0.283
Cd 0.089 0.676 0.765
Cd 0.250 0.750 0.500
Cd 0.411 0.176 0.587
Cd 0.467 0.750 0.717
Cd 0.533 0.250 0.283
Cd 0.589 0.824 0.413
Cd 0.750 0.250 0.500
Cd 0.911 0.324 0.235
Cd 0.967 0.250 0.717
Pt 0.168 0.883 0.051
Pt 0.332 0.383 0.715
Pt 0.668 0.617 0.285
Pt 0.832 0.117 0.949

Entry 18:
## KCdPt (PBE-GGA)

Data for KCdPt after structural relaxation.

Results
Space group: Imm2
M_tot in μB per formula unit: 0.00
Formation energy from the elements in eV per atom: -0.15
Offset from the most stable computed form in meV/atom: 83

abc: 6.435 6.435 6.435
angles: 152.28 140.02 49.34
Fractional coordinates of all 3 atoms:
K 0.000 0.000 0.000
Cd 0.273 0.273 0.000
Pt 0.722 0.722 0.000

Entry 19:
## KCd2Pt (PBE-GGA)

Data for KCd2Pt after structural relaxation.

Results
Space group: P4/mmm
M_tot in μB per formula unit: 0.00
Formation energy from the elements in eV per atom: 0.14

abc: 4.525 4.525 4.552
angles: 90.00 90.00 90.00
Fractional coordinates of all 4 atoms:
K 0.000 0.000 0.000
Cd 0.000 0.500 0.500
Cd 0.500 0.000 0.500
Pt 0.500 0.500 0.000

Entry 20:
## KCdPt (PBE-GGA)

Data for KCdPt after structural relaxation.

Results
Space group: F-43m
M_tot in μB per formula unit: 0.00
Formation energy from the elements in eV per atom: 0.69
Offset from the most stable computed form in meV/atom: 918

abc: 5.050 5.050 5.050
angles: 60.00 60.00 60.00
Fractional coordinates of all 3 atoms:
K 0.000 0.000 0.000
Cd 0.750 0.750 0.750
Pt 0.250 0.250 0.250

Entry 21:
## KCd2Pt2 (PBE-GGA)

Data for KCd2Pt2 after structural relaxation.

Results
Space group: I4/mmm
M_tot in μB per formula unit: 0.00
Formation energy from the elements in eV per atom: -0.21
Offset from the most stable computed form in meV/atom: 51

abc: 6.569 6.569 6.569
angles: 139.16 139.16 59.13
Fractional coordinates of all 5 atoms:
K 0.000 0.000 0.000
Cd 0.250 0.750 0.500
Cd 0.750 0.250 0.500
Pt 0.388 0.388 0.000
Pt 0.612 0.612 0.000

Entry 22:
## K2Cd3Pt (PBE-GGA)

Data for K2Cd3Pt after structural relaxation.

Results
Space group: P6_3/mmc
M_tot in μB per formula unit: 0.00
Formation energy from the elements in eV per atom: -0.17
Offset from the most stable computed form in meV/atom: 0

abc: 6.265 6.265 9.510
angles: 90.00 90.00 120.00
Fractional coordinates of all 12 atoms:
K 0.333 0.667 0.055
K 0.333 0.667 0.445
K 0.667 0.333 0.555
K 0.667 0.333 0.945
Cd 0.159 0.318 0.750
Cd 0.159 0.841 0.750
Cd 0.318 0.159 0.250
Cd 0.682 0.841 0.750
Cd 0.841 0.159 0.250
Cd 0.841 0.682 0.250
Pt 0.000 0.000 0.000
Pt 0.000 0.000 0.500

Entry 23:
## KCdPt (PBE-GGA)

Data for KCdPt after structural relaxation.

Results
Space group: P-1
M_tot in μB per formula unit: 0.00
Formation energy from the elements in eV per atom: -0.23
Offset from the most stable computed form in meV/atom: 0

abc: 4.861 5.546 6.341
angles: 74.37 89.33 89.98
Fractional coordinates of all 6 atoms:
K 0.249 0.227 0.048
K 0.751 0.773 0.952
Cd 0.250 0.644 0.476
Cd 0.750 0.356 0.524
Pt 0.250 0.112 0.553
Pt 0.750 0.888 0.447

Entry 24:
## KRb2CdPt (PBE-GGA)

Data for KRb2CdPt after structural relaxation.

Results
Space group: P4/mmm
M_tot in μB per formula unit: 0.00
Formation energy from the elements in eV per atom: 0.00

abc: 6.625 6.625 5.327
angles: 90.00 90.00 90.00
Fractional coordinates of all 5 atoms:
K 0.000 0.000 0.000
Rb 0.000 0.500 0.500
Rb 0.500 0.000 0.500
Cd 0.500 0.500 0.000
Pt 0.500 0.500 0.500

Entry 25:
## K2Rb2Cd4Pt (PBE-GGA)

Data for K2Rb2Cd4Pt after structural relaxation.

Results
Space group: I4/mmm
M_tot in μB per formula unit: 0.00
Formation energy from the elements in eV per atom: -0.09

abc: 7.841 7.841 7.841
angles: 114.51 114.51 99.81
Fractional coordinates of all 9 atoms:
K 0.189 0.189 0.000
K 0.811 0.811 0.000
Rb 0.250 0.750 0.500
Rb 0.750 0.250 0.500
Cd 0.276 0.276 0.552
Cd 0.276 0.724 0.000
Cd 0.724 0.276 0.000
Cd 0.724 0.724 0.448
Pt 0.500 0.500 0.000